Here is a relaxed structure of BaAgHg3 from Alexandria. Energies are from PBE-GGA.

a = 6.7871 Å, b = 7.0683 Å, c = 6.9749 Å
α = 119.56°, β = 90.00°, γ = 90.00°
Atoms (fractional coordinates):
Ba 0.2500 0.5106 0.7553
Ba 0.7500 0.4894 0.2447
Ag 0.2500 0.7274 0.3638
Ag 0.7500 0.2726 0.6362
Hg 0.5000 0.0000 0.2635
Hg 0.5000 0.0000 0.7365
Hg 0.0000 0.0000 0.2635
Hg 0.0000 0.0000 0.7365
Hg 0.2500 0.2759 0.1379
Hg 0.7500 0.7241 0.8621

Volume: 291 Å³ per cell
Density: 9.7 g/cm3
Energy relative to the lowest polymorph listed for this composition: 0 meV/atom
E_tot: -1.429 eV/atom

***

Here is a relaxed structure of BiAsW3 from Alexandria. Energies are from PBE-GGA.

a = 5.0369 Å, b = 5.0369 Å, c = 5.0369 Å
α = 90.00°, β = 90.00°, γ = 90.00°
Atoms (fractional coordinates):
As 0.5000 0.5000 0.5000
Bi 0.0000 0.0000 0.0000
W 0.0000 0.5000 0.0000
W 0.0000 0.0000 0.5000
W 0.5000 0.0000 0.0000

Volume: 128 Å³ per cell
Density: 10.9 g/cm3
E_tot: -6.277 eV/atom

***

Here is a relaxed structure of Zn2InIr from Alexandria. Energies are from PBE-GGA.

a = 8.8859 Å, b = 8.8859 Å, c = 8.8859 Å
α = 19.57°, β = 19.57°, γ = 19.57°
Atoms (fractional coordinates):
In 0.2500 0.2500 0.2500
Ir 0.7500 0.7500 0.7500
Zn 0.0090 0.0090 0.0090
Zn 0.4910 0.4910 0.4910

Volume: 69 Å³ per cell
Density: 10.6 g/cm3
E_tot: -3.454 eV/atom

***

Here is a relaxed structure of NiSbPbI2 from Alexandria. Energies are from PBE-GGA.

a = 6.1720 Å, b = 6.1720 Å, c = 6.1170 Å
α = 90.00°, β = 90.00°, γ = 90.00°
Atoms (fractional coordinates):
Pb 0.0000 0.0000 0.0000
I 0.0000 0.5000 0.0000
I 0.5000 0.0000 0.0000
Ni 0.5000 0.5000 0.5000
Sb 0.0000 0.0000 0.5000

Formation energy from raw total energies: 91 kJ per mole of atoms
Volume: 233 Å³ per cell
Density: 4.6 g/cm3
Energy relative to the lowest polymorph listed for this composition: 796 meV/atom
E_tot: -2.397 eV/atom

***

Here is a relaxed structure of DyPa2Te4 from Alexandria. Energies are from PBE-GGA.

a = 4.1219 Å, b = 7.1596 Å, c = 15.6698 Å
α = 90.00°, β = 90.00°, γ = 106.73°
Atoms (fractional coordinates):
Dy 0.6008 0.2015 0.7500
Dy 0.3992 0.7985 0.2500
Pa 0.1515 0.3031 0.4396
Pa 0.8485 0.6969 0.9396
Pa 0.1515 0.3031 0.0604
Pa 0.8485 0.6969 0.5604
Te 0.7970 0.5940 0.1328
Te 0.7970 0.5940 0.3672
Te 0.2030 0.4060 0.8672
Te 0.2030 0.4060 0.6328
Te 0.9329 0.8657 0.7500
Te 0.0671 0.1343 0.2500
Te 0.5000 0.0000 0.0000
Te 0.5000 0.0000 0.5000

Formation energy from raw total energies: -82 kJ per mole of atoms
Volume: 443 Å³ per cell
Density: 8.5 g/cm3
E_tot: -6.020 eV/atom

***

Here is a relaxed structure of Li7Ga2Hg from Alexandria. Energies are from PBE-GGA.

a = 4.5275 Å, b = 4.5275 Å, c = 9.6905 Å
α = 90.00°, β = 90.00°, γ = 120.00°
Atoms (fractional coordinates):
Li 0.3333 0.6667 0.4095
Li 0.3333 0.6667 0.1659
Li 0.0000 0.0000 0.3503
Li 0.0000 0.0000 0.7371
Li 0.6667 0.3333 0.5541
Li 0.6667 0.3333 0.8898
Li 0.3333 0.6667 0.9257
Ga 0.6667 0.3333 0.2291
Ga 0.3333 0.6667 0.6674
Hg 0.0000 0.0000 0.0546

Volume: 172 Å³ per cell
Density: 3.8 g/cm3
E_tot: -2.138 eV/atom

***

Here is a relaxed structure of WSeCl from Alexandria. Energies are from PBE-GGA.

a = 8.4715 Å, b = 8.0773 Å, c = 3.3612 Å
α = 84.96°, β = 71.76°, γ = 23.28°
Atoms (fractional coordinates):
Cl 0.0446 0.0446 0.9554
Se 0.2874 0.2874 0.7126
W 0.6680 0.6680 0.3320

Formation energy from raw total energies: 15 kJ per mole of atoms
Volume: 73 Å³ per cell
Density: 6.8 g/cm3
Energy relative to the lowest polymorph listed for this composition: 638 meV/atom
E_tot: -5.941 eV/atom

***

Here is a relaxed structure of PrEuHoHg from Alexandria. Energies are from PBE-GGA.

a = 5.5351 Å, b = 5.5351 Å, c = 5.5351 Å
α = 60.00°, β = 60.00°, γ = 60.00°
Atoms (fractional coordinates):
Eu 0.7500 0.7500 0.7500
Pr 0.5000 0.5000 0.5000
Hg 0.2500 0.2500 0.2500
Ho 0.0000 0.0000 0.0000

Volume: 120 Å³ per cell
Density: 9.1 g/cm3
E_tot: -5.036 eV/atom

***

Here is a relaxed structure of Ce9In3Ga2 from Alexandria. Energies are from PBE-GGA.

a = 5.2381 Å, b = 8.7698 Å, c = 8.7698 Å
α = 100.45°, β = 72.62°, γ = 72.62°
Atoms (fractional coordinates):
Ce 0.0000 0.5000 0.5000
Ce 0.6510 0.9660 0.7319
Ce 0.3490 0.0340 0.2681
Ce 0.6510 0.7319 0.9660
Ce 0.3490 0.2681 0.0340
Ce 0.8421 0.9329 0.3829
Ce 0.1579 0.0671 0.6171
Ce 0.8421 0.3829 0.9329
Ce 0.1579 0.6171 0.0671
In 0.0000 0.0000 0.0000
In 0.6924 0.3076 0.3076
In 0.3076 0.6924 0.6924
Ga 0.5000 0.3225 0.6775
Ga 0.5000 0.6775 0.3225

Volume: 350 Å³ per cell
Density: 8.3 g/cm3
E_tot: -4.984 eV/atom

***

Here is a relaxed structure of Cs2InH4 from Alexandria. Energies are from PBE-GGA.

a = 4.3923 Å, b = 4.3923 Å, c = 8.2810 Å
α = 74.62°, β = 74.62°, γ = 90.00°
Atoms (fractional coordinates):
Cs 0.6437 0.6437 0.7126
Cs 0.3563 0.3563 0.2874
H 0.8587 0.8587 0.2826
H 0.1413 0.1413 0.7174
H 0.0000 0.5000 0.0000
H 0.5000 0.0000 0.0000
In 0.0000 0.0000 0.0000

Volume: 148 Å³ per cell
Density: 4.3 g/cm3
Energy relative to the lowest polymorph listed for this composition: 30 meV/atom
E_tot: -2.575 eV/atom

***

Here is a relaxed structure of SiSb2Pt from Alexandria. Energies are from PBE-GGA.

a = 6.3690 Å, b = 6.3690 Å, c = 6.3690 Å
α = 149.92°, β = 136.32°, γ = 53.94°
Atoms (fractional coordinates):
Pt 0.2769 0.7769 0.5000
Sb 0.0508 0.0508 0.0000
Sb 0.7383 0.2383 0.5000
Si 0.4341 0.4341 0.0000

Formation energy from raw total energies: 8 kJ per mole of atoms
Volume: 89 Å³ per cell
Density: 8.7 g/cm3
E_tot: -4.842 eV/atom

***

Here is a relaxed structure of NbZnGe from Alexandria. Energies are from PBE-GGA.

a = 4.9725 Å, b = 4.9725 Å, c = 5.2089 Å
α = 104.66°, β = 104.66°, γ = 118.03°
Atoms (fractional coordinates):
Ge 0.0513 0.9487 0.5000
Ge 0.3013 0.6987 0.0000
Nb 0.3833 0.6167 0.5000
Nb 0.6333 0.3667 0.0000
Zn 0.9719 0.0281 0.0000
Zn 0.7219 0.2781 0.5000

Volume: 99 Å³ per cell
Density: 7.7 g/cm3
E_tot: -5.369 eV/atom

***

Here is a relaxed structure of BaAsF from Alexandria. Energies are from PBE-GGA.

a = 4.4602 Å, b = 4.5240 Å, c = 7.8426 Å
α = 90.00°, β = 106.52°, γ = 90.00°
Atoms (fractional coordinates):
Ba 0.2661 0.1155 0.9949
Ba 0.9640 0.6155 0.3908
As 0.6509 0.6155 0.7646
As 0.5792 0.1155 0.6210
F 0.3648 0.6155 0.1924
F 0.8653 0.1155 0.1933

Formation energy from raw total energies: -224 kJ per mole of atoms
Volume: 152 Å³ per cell
Density: 5.1 g/cm3
Energy relative to the lowest polymorph listed for this composition: 0 meV/atom
E_tot: -5.140 eV/atom

***

Here is a relaxed structure of PmThPtRh from Alexandria. Energies are from PBE-GGA.

a = 5.0586 Å, b = 5.0586 Å, c = 5.0586 Å
α = 60.00°, β = 60.00°, γ = 60.00°
Atoms (fractional coordinates):
Rh 0.2500 0.2500 0.2500
Pt 0.7500 0.7500 0.7500
Th 0.0000 0.0000 0.0000
Pm 0.5000 0.5000 0.5000

Volume: 92 Å³ per cell
Density: 12.2 g/cm3
Energy relative to the lowest polymorph listed for this composition: 185 meV/atom
E_tot: -7.261 eV/atom

***

Here is a relaxed structure of CdAs2P from Alexandria. Energies are from PBE-GGA.

a = 3.4283 Å, b = 3.4283 Å, c = 6.9386 Å
α = 90.00°, β = 90.00°, γ = 90.00°
Atoms (fractional coordinates):
As 0.0000 0.0000 0.9362
As 0.0000 0.0000 0.5638
Cd 0.5000 0.5000 0.2500
P 0.5000 0.5000 0.7500

Volume: 82 Å³ per cell
Density: 6.0 g/cm3
Energy relative to the lowest polymorph listed for this composition: 301 meV/atom
E_tot: -3.494 eV/atom

***

Here is a relaxed structure of Mg2CoHgH from Alexandria. Energies are from PBE-GGA.

a = 4.8810 Å, b = 4.8957 Å, c = 4.8810 Å
α = 90.00°, β = 90.00°, γ = 90.00°
Atoms (fractional coordinates):
H 0.5000 0.5000 0.5000
Mg 0.0000 0.0000 0.5000
Mg 0.5000 0.0000 0.0000
Co 0.0000 0.0000 0.0000
Hg 0.0000 0.5000 0.0000

Volume: 117 Å³ per cell
Density: 4.4 g/cm3
Energy relative to the lowest polymorph listed for this composition: 803 meV/atom
E_tot: -2.051 eV/atom

***

Here is a relaxed structure of V3HgAs from Alexandria. Energies are from PBE-GGA.

a = 4.5799 Å, b = 4.5799 Å, c = 4.5799 Å
α = 90.00°, β = 90.00°, γ = 90.00°
Atoms (fractional coordinates):
As 0.0000 0.0000 0.0000
Hg 0.5000 0.5000 0.5000
V 0.0000 0.5000 0.0000
V 0.0000 0.0000 0.5000
V 0.5000 0.0000 0.0000

Volume: 96 Å³ per cell
Density: 7.4 g/cm3
Energy relative to the lowest polymorph listed for this composition: 0 meV/atom
E_tot: -5.856 eV/atom

***

Here is a relaxed structure of DyTmAl3 from Alexandria. Energies are from PBE-GGA.

a = 4.5291 Å, b = 3.5134 Å, c = 13.8366 Å
α = 97.29°, β = 90.00°, γ = 90.00°
Atoms (fractional coordinates):
Dy 0.2500 0.0722 0.1444
Dy 0.7500 0.9278 0.8556
Tm 0.2500 0.7876 0.5752
Tm 0.7500 0.2124 0.4248
Al 0.2500 0.3802 0.7604
Al 0.7500 0.6198 0.2396
Al 0.2500 0.4759 0.9519
Al 0.7500 0.5241 0.0481
Al 0.7500 0.3279 0.6559
Al 0.2500 0.6721 0.3441

Volume: 218 Å³ per cell
Density: 6.3 g/cm3
E_tot: -4.510 eV/atom

***

Here is a relaxed structure of Ho8Mg2Cu from Alexandria. Energies are from PBE-GGA.

a = 5.3574 Å, b = 6.8703 Å, c = 9.2188 Å
α = 107.54°, β = 106.89°, γ = 90.00°
Atoms (fractional coordinates):
Ho 0.4053 0.5673 0.8107
Ho 0.6506 0.9477 0.3013
Ho 0.8038 0.7307 0.6075
Ho 0.9819 0.2242 0.9638
Ho 0.1962 0.2693 0.3925
Ho 0.3494 0.0523 0.6987
Ho 0.5947 0.4327 0.1893
Ho 0.0181 0.7758 0.0362
Mg 0.8141 0.2898 0.6282
Mg 0.1859 0.7102 0.3718
Cu 0.5000 0.0000 0.0000

Volume: 308 Å³ per cell
Density: 7.7 g/cm3
E_tot: -3.968 eV/atom

***

Here is a relaxed structure of Nd2Ni5As4 from Alexandria. Energies are from PBE-GGA.

a = 5.5483 Å, b = 5.6209 Å, c = 7.3645 Å
α = 79.29°, β = 67.87°, γ = 60.43°
Atoms (fractional coordinates):
Nd 0.8577 0.0000 0.2845
Nd 0.1423 0.0000 0.7155
Ni 0.5000 0.0000 0.0000
Ni 0.0000 0.5000 0.0000
Ni 0.5000 0.5000 0.0000
Ni 0.2500 0.5000 0.5000
Ni 0.7500 0.5000 0.5000
As 0.4744 0.3105 0.7407
As 0.5256 0.6895 0.2593
As 0.2151 0.3105 0.2593
As 0.7849 0.6895 0.7407

Volume: 185 Å³ per cell
Density: 7.9 g/cm3
E_tot: -5.797 eV/atom

***

Here is a relaxed structure of LiPr2In2Rh5 from Alexandria. Energies are from PBE-GGA.

a = 3.6405 Å, b = 10.3416 Å, c = 10.3416 Å
α = 90.00°, β = 90.00°, γ = 90.00°
Atoms (fractional coordinates):
Li 0.0000 0.0000 0.0000
Li 0.0000 0.5000 0.5000
Pr 0.0000 0.6690 0.1690
Pr 0.0000 0.3310 0.8310
Pr 0.0000 0.1690 0.3310
Pr 0.0000 0.8310 0.6690
In 0.0000 0.1313 0.6313
In 0.0000 0.8687 0.3687
In 0.0000 0.6313 0.8687
In 0.0000 0.3687 0.1313
Rh 0.5000 0.1960 0.0448
Rh 0.5000 0.8040 0.9552
Rh 0.5000 0.0448 0.8040
Rh 0.5000 0.6960 0.4552
Rh 0.5000 0.9552 0.1960
Rh 0.5000 0.3040 0.5448
Rh 0.5000 0.5448 0.6960
Rh 0.5000 0.4552 0.3040
Rh 0.5000 0.5000 0.0000
Rh 0.5000 0.0000 0.5000

Volume: 389 Å³ per cell
Density: 8.8 g/cm3
E_tot: -5.656 eV/atom

***

Here is a relaxed structure of Tm2CuAg from Alexandria. Energies are from PBE-GGA.

a = 3.9913 Å, b = 3.9913 Å, c = 7.4216 Å
α = 74.40°, β = 74.40°, γ = 60.00°
Atoms (fractional coordinates):
Tm 0.7423 0.7423 0.7730
Tm 0.2577 0.2577 0.2270
Cu 0.0000 0.0000 0.0000
Ag 0.5000 0.5000 0.5000

Volume: 97 Å³ per cell
Density: 8.7 g/cm3
Energy relative to the lowest polymorph listed for this composition: 243 meV/atom
E_tot: -4.040 eV/atom

***

Here is a relaxed structure of DyThMnTc from Alexandria. Energies are from PBE-GGA.

a = 4.9802 Å, b = 4.9802 Å, c = 4.9802 Å
α = 60.00°, β = 60.00°, γ = 60.00°
Atoms (fractional coordinates):
Mn 0.0000 0.0000 0.0000
Tc 0.5000 0.5000 0.5000
Th 0.2500 0.2500 0.2500
Dy 0.7500 0.7500 0.7500

Volume: 87 Å³ per cell
Density: 10.4 g/cm3
E_tot: -7.813 eV/atom

***

Here is a relaxed structure of CsRb3 from Alexandria. Energies are from PBE-GGA.

a = 7.2195 Å, b = 7.2668 Å, c = 7.2665 Å
α = 90.00°, β = 90.00°, γ = 90.00°
Atoms (fractional coordinates):
Cs 0.5000 0.0000 0.5828
Rb 0.0000 0.0000 0.0822
Rb 0.0000 0.5000 0.5840
Rb 0.5000 0.5000 0.0843

Volume: 381 Å³ per cell
Density: 1.7 g/cm3
E_tot: -0.935 eV/atom

***

Here is a relaxed structure of LiCeDy2Se4 from Alexandria. Energies are from PBE-GGA.

a = 4.0828 Å, b = 7.0905 Å, c = 7.1280 Å
α = 109.29°, β = 90.00°, γ = 90.00°
Atoms (fractional coordinates):
Li 0.0000 0.0000 0.0000
Ce 0.5000 0.5000 0.0000
Dy 0.5000 0.0000 0.5000
Dy 0.0000 0.5000 0.5000
Se 0.5000 0.2429 0.2503
Se 0.5000 0.7571 0.7497
Se 0.0000 0.2393 0.7460
Se 0.0000 0.7607 0.2540

Formation energy from raw total energies: -168 kJ per mole of atoms
Volume: 195 Å³ per cell
Density: 6.7 g/cm3
E_tot: -5.610 eV/atom